This record from the Alexandria database describes crystalline FeOsO at its relaxed geometry. The functional is GGA+U.

Total magnetic moment (μB/f.u.): 3.62
Fermi-level density of states (states/eV per atom): 0.48
Uncorrected energy (hartree per atom): -0.272

a = 2.8374 Å, b = 2.8374 Å, c = 5.2454 Å
α = 90.00°, β = 90.00°, γ = 120.00°
Last column: nearest neighbours and their distance in Å.
Space group P3m1 (No. 156)
One atom of each set of equivalent atoms:
Fe1 0.0000 0.0000 0.0000 [1 per cell]  3 O 2.02
Os1 0.6667 0.3333 0.3892 [1 per cell]  1 O 2.02
O1 0.6667 0.3333 0.7741 [1 per cell]  1 Os 2.02, 3 Fe 2.02